1.
A plane-wave DFT calculation with PBE was carried out for a relaxed structure of InIr.

Formation energy from the elements in eV per formula unit: 0.2

Structure (POSCAR):
```
InIr
1.0
-1.022 1.137 -2.652
-0.752 -2.847 0.835
-3.531 1.523 2.013
In Ir
1 1
Direct
0.000 0.000 0.000
0.333 0.667 0.500
```

2.
A plane-wave DFT calculation with PBE was carried out for a relaxed structure of LiLa2OsO.

ΔE_f (raw) in eV/atom: -1.11

Structure (POSCAR):
```
LiLa2OsO
1.0
-0.720 4.907 -0.868
-2.820 -1.124 -4.017
-3.114 -0.067 2.205
La Li Os O
2 1 1 1
Direct
0.500 0.000 0.000
0.000 0.500 0.000
0.000 0.000 0.500
0.500 0.500 0.500
0.000 0.000 0.000
```

3.
A plane-wave DFT calculation with PBE was carried out for a relaxed structure of Ba2GePb.

Formation energy from the elements in eV per formula unit: -2.3
Relative energy among the computed polymorphs in meV/atom: 0

Structure (POSCAR):
```
Ba2GePb
1.0
4.623 0.000 0.000
0.000 6.840 -0.248
0.000 -3.738 9.821
Ge Pb Ba
2 2 4
Direct
0.250 0.363 0.214
0.750 0.637 0.786
0.250 0.348 0.713
0.750 0.652 0.287
0.250 0.766 0.577
0.250 0.775 0.059
0.750 0.234 0.423
0.750 0.225 0.941
```

4.
A plane-wave DFT calculation with PBE was carried out for a relaxed structure of AcPt2.

Formation energy from the elements in eV per formula unit: -3.1
Relative energy among the computed polymorphs in meV/atom: 4

Structure (POSCAR):
```
AcPt2
1.0
5.662 0.000 0.000
2.831 4.904 0.000
2.831 1.635 4.623
Pt Ac
4 2
Direct
0.625 0.125 0.625
0.625 0.625 0.625
0.125 0.625 0.625
0.625 0.625 0.125
0.000 0.000 0.000
0.250 0.250 0.250
```

5.
A plane-wave DFT calculation with PBE was carried out for a relaxed structure of TaSe2I.

ΔE_f (raw) in eV/atom: -0.53
Relative energy among the computed polymorphs in meV/atom: 0

Structure (POSCAR):
```
TaSe2I
1.0
-0.598 -3.403 0.421
0.362 -1.456 3.140
-10.372 0.414 3.366
Se Ta I
2 1 1
Direct
0.196 0.196 0.407
0.968 0.968 0.096
0.582 0.582 0.251
0.754 0.754 0.746
```

6.
A plane-wave DFT calculation with PBE was carried out for a relaxed structure of Li4PuSc3Se8.

ΔE_f (raw) in eV/atom: -1.53

Structure (POSCAR):
```
Li4PuSc3Se8
1.0
7.869 0.000 0.000
0.000 7.871 -0.006
-3.935 -3.930 5.569
Sc Se Li Pu
3 8 4 1
Direct
0.000 0.500 0.500
0.500 0.500 0.000
0.500 0.500 0.500
0.744 0.253 0.488
0.736 0.747 0.992
0.264 0.253 0.008
0.744 0.253 0.008
0.256 0.747 0.992
0.256 0.747 0.512
0.747 0.741 0.494
0.253 0.259 0.506
0.500 0.000 0.500
0.000 0.000 0.500
0.500 0.000 0.000
0.000 0.000 0.000
0.000 0.500 0.000
```

7.
A plane-wave DFT calculation with PBE was carried out for a relaxed structure of Ac2ZnGa4Pd3.

Formation energy from the elements in eV per formula unit: -7.2

Structure (POSCAR):
```
Ac2ZnGa4Pd3
1.0
-0.827 1.286 4.165
3.883 -1.709 1.299
4.755 9.332 -1.938
Ga Pd Ac Zn
4 3 2 1
Direct
0.500 0.000 0.628
0.000 0.000 0.000
0.500 0.500 0.000
0.000 0.500 0.372
0.000 0.500 0.129
0.500 0.000 0.871
0.000 0.000 0.500
0.000 0.500 0.752
0.500 0.000 0.248
0.500 0.500 0.500
```

8.
A plane-wave DFT calculation with PBE was carried out for a relaxed structure of ScRe2AgAs.

Formation energy from the elements in eV per formula unit: 10.0

Structure (POSCAR):
```
ScRe2AgAs
1.0
-2.385 -4.275 0.628
2.533 -0.860 3.764
-3.368 2.288 2.789
Ag Sc Re As
1 1 2 1
Direct
0.000 0.000 0.000
0.500 0.500 0.500
0.500 0.000 0.000
0.000 0.000 0.500
0.000 0.500 0.000
```

9.
A plane-wave DFT calculation with PBE was carried out for a relaxed structure of PrCd2Pd2.

Formation energy from the elements in eV per formula unit: -2.6

Structure (POSCAR):
```
PrCd2Pd2
1.0
4.762 0.000 0.000
0.000 5.371 -0.223
0.000 -1.921 8.858
Cd Pr Pd
4 2 4
Direct
0.250 0.374 0.537
0.750 0.626 0.463
0.250 0.749 0.854
0.750 0.251 0.146
0.750 0.159 0.774
0.250 0.841 0.226
0.250 0.322 0.990
0.250 0.895 0.576
0.750 0.105 0.424
0.750 0.678 0.010
```

10.
A plane-wave DFT calculation with PBE was carried out for a relaxed structure of CuTc2GeF.

ΔE_f (raw) in eV/atom: 0.70

Structure (POSCAR):
```
CuTc2GeF
1.0
-0.096 4.014 -1.211
-4.146 -0.159 -0.200
-0.240 1.204 4.010
Tc Cu F Ge
2 1 1 1
Direct
0.500 0.000 0.000
0.000 0.000 0.500
0.000 0.500 0.000
0.000 0.000 0.000
0.500 0.500 0.500
```

11.
A plane-wave DFT calculation with PBE was carried out for a relaxed structure of CaZn2GaCo.

Formation energy from the elements in eV per formula unit: -1.0

Structure (POSCAR):
```
CaZn2GaCo
1.0
4.639 0.000 0.000
0.000 4.639 0.000
0.000 0.000 4.517
Ga Zn Co Ca
1 2 1 1
Direct
0.000 0.000 0.500
0.000 0.500 0.000
0.500 0.000 0.000
0.000 0.000 0.000
0.500 0.500 0.500
```

12.
A plane-wave DFT calculation with PBE was carried out for a relaxed structure of Pm7Pd3.

Formation energy from the elements in eV per formula unit: -5.0

Structure (POSCAR):
```
Pm7Pd3
1.0
-3.633 -5.179 -1.144
4.398 -1.081 -9.075
3.966 -4.578 8.135
Pm Pd
14 6
Direct
0.630 0.924 0.462
0.130 0.462 0.924
0.130 0.076 0.538
0.424 0.125 0.251
0.129 0.667 0.333
0.924 0.875 0.749
0.424 0.749 0.875
0.629 0.333 0.667
0.130 0.462 0.538
0.630 0.538 0.462
0.424 0.125 0.875
0.924 0.875 0.125
0.630 0.538 0.076
0.924 0.251 0.125
0.373 0.379 0.190
0.373 0.810 0.190
0.873 0.190 0.810
0.873 0.190 0.379
0.873 0.621 0.810
0.373 0.810 0.621
```